Here is a relaxed structure of LiMg2ZnNi from Alexandria. Energies are from PBE.

Calculated values
- formation energy (eV/atom) = 0.320
- DOS at the Fermi energy (states/eV/cell) = 2.9

extended XYZ file:
```
5
Lattice="4.932 0.000 0.000 0.000 4.487 0.000 0.000 0.000 4.932" Properties=species:S:1:pos:R:3 pbc="T T T"
Zn 0.000 0.000 0.000
Ni 0.000 2.244 0.000
Mg 0.000 0.000 2.466
Mg 2.466 0.000 0.000
Li 2.466 2.244 2.466
```

=====

Here is a relaxed structure of Pa2FePdN5 from Alexandria. Energies are from PBE.

Calculated values
- E_form (uncorrected) (meV/atom) = -705
- DOS at the Fermi energy (states/eV/cell) = 7.7

extended XYZ file:
```
18
Lattice="-1.283 -1.026 -2.972 -2.427 -4.399 4.507 -7.779 5.712 1.386" Properties=species:S:1:pos:R:3 pbc="T T T"
Pa -4.538 -3.241 1.138
N -0.304 -0.281 0.228
N -2.333 -3.528 2.226
N -4.758 -1.273 2.494
N -8.934 -0.342 3.976
Pa -3.477 0.360 1.377
N -3.513 -1.517 0.101
Pa -6.067 2.879 1.626
N -5.443 1.089 0.034
Fe -6.307 -2.043 3.429
N -7.163 1.208 2.676
Pa -9.198 0.798 1.756
N -7.472 -2.159 2.031
Fe -8.190 4.539 0.028
Pd -1.392 -1.812 1.227
Pd -6.564 -0.495 1.065
N -8.274 2.694 0.702
N -2.843 0.841 -1.003
```

=====

Here is a relaxed structure of Tl3InBi2S6 from Alexandria. Energies are from PBE.

Calculated values
- E_form (uncorrected) (meV/atom) = -447

extended XYZ file:
```
12
Lattice="-3.493 3.908 -4.720 4.306 -5.137 -2.195 -5.936 -4.422 2.494" Properties=species:S:1:pos:R:3 pbc="T T T"
In 0.000 0.000 0.000
Tl 0.017 -5.816 -1.376
Bi 1.705 -2.121 -3.037
S -5.337 -3.056 -3.769
S 0.214 -2.595 -0.652
S -0.623 -1.846 -4.689
S -2.878 -5.908 -2.973
Tl -5.140 0.165 -3.045
Bi -0.892 0.892 -3.878
Tl -2.561 -2.825 -2.211
S -4.499 -3.804 0.268
S -2.245 0.257 -1.448
```

=====

Here is a relaxed structure of Ca2AlAs from Alexandria. Energies are from PBE.

Calculated values
- formation energy (eV/atom) = -0.402
- polymorph energy (0 for the lowest one) (meV/atom) = 283.4
- DOS at the Fermi energy (states/eV/cell) = 2.5

extended XYZ file:
```
4
Lattice="4.735 -0.009 0.006 2.909 3.736 0.006 1.678 0.818 6.435" Properties=species:S:1:pos:R:3 pbc="T T T"
As 2.330 1.136 1.612
Al 6.991 3.409 4.835
Ca 4.749 2.316 2.986
Ca 7.555 3.684 0.249
```

=====

Here is a relaxed structure of TaTi5Co2 from Alexandria. Energies are from PBE.

Calculated values
- formation energy (eV/atom) = 0.037
- DOS at the Fermi energy (states/eV/cell) = 8.4

extended XYZ file:
```
8
Lattice="-3.467 1.033 -1.420 0.143 -0.621 -6.119 -2.993 -5.094 -1.715" Properties=species:S:1:pos:R:3 pbc="T T T"
Co -4.721 -3.683 -7.104
Ti -1.425 -2.857 -3.917
Ti -3.710 -4.263 -4.678
Co -1.595 -0.998 -2.150
Ti -2.423 -2.427 -6.485
Ta 0.000 0.000 0.000
Ti -3.893 -2.254 -2.768
Ti -2.606 -0.418 -4.576
```

=====

Here is a relaxed structure of PrSm2ErSc from Alexandria. Energies are from PBE.

Calculated values
- formation energy (eV/atom) = 0.199
- DOS at the Fermi energy (states/eV/cell) = 10.4

extended XYZ file:
```
10
Lattice="-1.750 6.313 -1.302 -7.028 -2.407 -2.226 -2.068 0.632 5.844" Properties=species:S:1:pos:R:3 pbc="T T T"
Er -2.261 3.036 3.855
Er -1.556 3.909 0.688
Sm -5.873 -0.181 -0.397
Sm -7.899 3.716 1.787
Pr -5.243 3.329 -0.554
Pr -5.602 1.209 2.870
Sm -4.972 4.719 2.713
Sm -2.946 0.822 0.530
Sc -1.034 0.316 2.922
Sc 0.000 0.000 0.000
```

=====

Here is a relaxed structure of SrAcPd4 from Alexandria. Energies are from PBE.

Calculated values
- formation energy (eV/atom) = -0.699
- DOS at the Fermi energy (states/eV/cell) = 6.6

extended XYZ file:
```
6
Lattice="5.643 0.000 0.000 2.822 4.887 0.000 2.822 1.629 4.608" Properties=species:S:1:pos:R:3 pbc="T T T"
Pd 5.643 3.258 0.574
Pd 7.055 4.073 2.880
Ac 2.822 1.629 1.152
Pd 5.643 1.627 2.880
Pd 4.231 4.073 2.880
Sr 0.000 0.000 0.000
```

=====

Here is a relaxed structure of Al2ZnHg from Alexandria. Energies are from PBE.

Calculated values
- formation energy (eV/atom) = 0.107
- polymorph energy (0 for the lowest one) (meV/atom) = 9.1
- DOS at the Fermi energy (states/eV/cell) = 1.1

extended XYZ file:
```
4
Lattice="-6.115 -2.979 -5.335 -3.569 -3.194 -7.197 -4.228 -5.509 -5.148" Properties=species:S:1:pos:R:3 pbc="T T T"
Al -0.064 -0.054 -0.082
Hg -3.478 -2.921 -4.420
Al -6.892 -5.787 -8.758
Zn -10.434 -8.762 -13.259
```

=====

no.,DFT total energy (eV/cell),calculated volume (Å³ per atom)
1,-10.56,21.8
2,-161.24,12.0
3,-47.72,26.8
4,-14.01,28.5
5,-65.25,15.9
6,-48.23,32.3
7,-30.75,21.2
8,-8.63,18.3